{
  "formula": "PmPu2BeO8",
  "functional": "PBE-GGA",
  "state": "optimized geometry",
  "lattice": [[3.2833, -3.6147, 0.0000], [3.2833, 3.6147, 0.0000], [0.0000, 0.0000, 6.7972]],
  "species": ["Pm", "Pu", "Pu", "Be", "O", "O", "O", "O", "O", "O", "O", "O"],
  "fractional_positions": [[0.0000, 0.0000, 0.0000], [0.5000, 0.5000, 0.2643], [0.5000, 0.5000, 0.7357], [0.0000, 0.0000, 0.5000], [0.1914, 0.1914, 0.2940], [0.1914, 0.1914, 0.7060], [0.3122, 0.6878, 0.5000], [0.3229, 0.6771, 0.0000], [0.6771, 0.3229, 0.0000], [0.6878, 0.3122, 0.5000], [0.8086, 0.8086, 0.2940], [0.8086, 0.8086, 0.7060]],
  "volume_a3_per_cell": 161.3,
  "raw_formation_energy_ev_per_atom": -2.603
}